DFT (GGA-PBE) results for an optimized crystal structure of Rb2MgAgSb2.

a = 9.887 Å, b = 9.887 Å, c = 9.887 Å
α = 139.27°, β = 59.29°, γ = 138.85°
Fractional positions:
Rb 0.171 0.242 0.413
Rb 0.329 0.742 0.070
Rb 0.671 0.258 0.930
Rb 0.829 0.758 0.587
Mg 0.250 0.750 0.500
Mg 0.750 0.250 0.500
Ag 0.250 0.250 0.000
Ag 0.750 0.750 0.000
Sb 0.094 0.751 0.844
Sb 0.406 0.251 0.657
Sb 0.594 0.749 0.343
Sb 0.906 0.249 0.156

Summary:
The calculation puts the formation energy from raw total energies at -0.366 eV per atom. The electronic total energy is -33.6 eV/cell. Its calculated density is 4.418 Mg/m³. As for the density of states at the Fermi level: 9.47 states/eV per cell.